# CsTl12Se6

A geometry-optimized CsTl12Se6 structure (PBE, the Alexandria database).

The calculation puts the theoretical density at 7.433 g/cm3. The formation energy (no corrections) is -6.62 eV/f.u. The value obtained for the density of states at the Fermi level is 9.23 states/eV/cell. As for the total energy: -2.988 eV per atom.

The structure belongs to space group R-3m (No. 166, hexagonal axes); the cell edges are 14.4065, 14.4065 and 11.4066 Å and the angles 90.00°, 90.00° and 120.00°. The distinct sites, in fractional coordinates, are Cs at (0.0000, 0.0000, 0.0000), Tl at (0.0000, 0.3824, 0.5000), Tl at (0.0868, 0.1736, 0.3603) and Se at (0.0253, 0.5126, 0.2428).